Zr2Si7Ru12 | PBE | optimized geometry

```
data_Zr2Si7Ru12
_chemical_formula_sum 'Zr2 Si7 Ru12'
_cell_length_a 3.903
_cell_length_b 9.520
_cell_length_c 9.520
_cell_angle_alpha 120.00
_cell_angle_beta 90.00
_cell_angle_gamma 90.00
_symmetry_space_group_name_H-M 'P 1'
_symmetry_Int_Tables_number 1
loop_
_symmetry_equiv_pos_as_xyz
'x,y,z'
loop_
_atom_site_label
_atom_site_fract_x
_atom_site_fract_y
_atom_site_fract_z
Zr1 0.500 0.000 0.000
Zr2 0.000 0.667 0.333
Si1 0.000 0.039 0.786
Si2 0.000 0.214 0.252
Si3 0.000 0.748 0.961
Si4 0.500 0.624 0.555
Si5 0.000 0.333 0.667
Si6 0.500 0.931 0.376
Si7 0.500 0.445 0.069
Ru1 0.500 0.386 0.283
Ru2 0.000 0.963 0.236
Ru3 0.500 0.897 0.614
Ru4 0.500 0.545 0.765
Ru5 0.500 0.220 0.455
Ru6 0.000 0.456 0.509
Ru7 0.000 0.054 0.544
Ru8 0.000 0.273 0.037
Ru9 0.000 0.764 0.727
Ru10 0.500 0.717 0.103
Ru11 0.500 0.235 0.780
Ru12 0.000 0.491 0.946
```

The space group is No. 174. The value obtained for the volume is 306.4 Å³ per cell. The value obtained for the uncorrected formation energy is -0.562 eV/atom. The value obtained for the density of states at the Fermi level is 20.12 states/eV/f.u.

AcCeAg2 | PBE | optimized geometry

```
data_AcCeAg2
_chemical_formula_sum 'Ac1 Ce1 Ag2'
_cell_length_a 5.449
_cell_length_b 5.449
_cell_length_c 5.449
_cell_angle_alpha 60.00
_cell_angle_beta 60.00
_cell_angle_gamma 60.00
_symmetry_space_group_name_H-M 'P 1'
_symmetry_Int_Tables_number 1
loop_
_symmetry_equiv_pos_as_xyz
'x,y,z'
loop_
_atom_site_label
_atom_site_fract_x
_atom_site_fract_y
_atom_site_fract_z
Ag1 0.750 0.750 0.750
Ag2 0.250 0.250 0.250
Ce1 0.500 0.500 0.500
Ac1 0.000 0.000 0.000
```

The value obtained for the formation enthalpy at 0 K is -0.12 eV per atom. The space group is No. 225. The value obtained for the volume is 114.4 Å³ per cell. The value obtained for the density of states at the Fermi level is 10.53 states/eV/f.u. The value obtained for the excess energy over the best structure of this formula in the dataset is 16.1 meV/atom.

Going through the records in order, we get energy values of -8.484 -4.058 eV/atom.